Material: Cd2SiTc
Method: DFT, PBE-GGA
State: relaxed

Cell lengths 4.595, 4.595, 4.595 Å; angles 60.00, 60.00, 60.00 degrees
Fractional coordinates of all 4 atoms:
Cd (0.000, 0.000, 0.000)
Cd (0.250, 0.250, 0.250)
Si (0.500, 0.500, 0.500)
Tc (0.750, 0.750, 0.750)

E_form (uncorrected)	198	kJ/mol of formula units
symmetry	No. 216